(A)
Below is a relaxed Ca3In5I12 crystal, with properties calculated at the PBE level.

Cell lengths 17.788, 17.788, 17.788 Å; angles 109.47, 109.47, 109.47 degrees
Positions (direct):
I: 0.683 0.011 0.639
I: 0.628 0.171 0.989
Ca: 0.750 0.375 0.125
I: 0.544 0.372 0.361
I: 0.128 0.639 0.956
I: 0.011 0.329 0.372
I: 0.861 0.817 0.989
In: 0.625 0.750 0.875
I: 0.956 0.139 0.128
Ca: 0.875 0.750 0.125
I: 0.011 0.683 0.139
In: 0.000 0.500 0.000
In: 0.500 0.500 0.000
I: 0.683 0.671 0.544
I: 0.128 0.489 0.671
In: 0.750 0.125 0.875
I: 0.171 0.544 0.183
I: 0.456 0.628 0.639
I: 0.329 0.011 0.872
I: 0.872 0.511 0.329
I: 0.956 0.817 0.329
I: 0.989 0.671 0.628
Ca: 0.750 0.875 0.625
I: 0.511 0.639 0.183
I: 0.456 0.829 0.317
I: 0.361 0.489 0.317
I: 0.671 0.683 0.044
In: 0.500 0.500 0.500
Ca: 0.250 0.625 0.875
I: 0.372 0.544 0.861
Ca: 0.375 0.625 0.250
Ca: 0.625 0.250 0.375
I: 0.139 0.183 0.011
In: 0.250 0.375 0.625
In: 0.500 0.000 0.000
I: 0.639 0.128 0.456
I: 0.989 0.317 0.861
I: 0.829 0.456 0.817
In: 0.625 0.875 0.250
I: 0.817 0.861 0.489
Ca: 0.125 0.875 0.750
In: 0.375 0.125 0.750
I: 0.544 0.171 0.683
I: 0.171 0.628 0.489
In: 0.250 0.875 0.125
I: 0.372 0.829 0.011
In: 0.125 0.375 0.250
I: 0.861 0.044 0.372
I: 0.044 0.861 0.872
In: 0.125 0.750 0.375
In: 0.750 0.625 0.375
I: 0.639 0.511 0.683
Ca: 0.375 0.750 0.625
Ca: 0.125 0.250 0.875
In: 0.875 0.625 0.750
I: 0.829 0.372 0.511
I: 0.489 0.128 0.171
In: 0.000 0.500 0.500
I: 0.317 0.329 0.456
I: 0.317 0.989 0.361
I: 0.361 0.872 0.544
I: 0.044 0.183 0.671
I: 0.183 0.044 0.171
I: 0.139 0.956 0.628
In: 0.375 0.250 0.125
I: 0.817 0.956 0.829
In: 0.500 0.000 0.500
In: 0.875 0.250 0.625
In: 0.000 0.000 0.500
I: 0.511 0.872 0.829
In: 0.000 0.000 0.000
Ca: 0.875 0.125 0.250
I: 0.329 0.317 0.956
I: 0.628 0.456 0.139
I: 0.671 0.989 0.128
Ca: 0.250 0.125 0.375
I: 0.489 0.361 0.817
Ca: 0.625 0.375 0.750
I: 0.872 0.361 0.044
I: 0.183 0.139 0.511

## Properties
space-group type	Ia-3d, No. 230
M_tot	0.00	μB per cell



(B)
Below is a relaxed Ca3In5I12 crystal, with properties calculated at the PBE level.

Cell lengths 4.636, 14.222, 14.222 Å; angles 120.00, 90.00, 90.00 degrees
Positions (direct):
I: 0.500 0.806 0.256
I: 0.000 0.171 0.171
Ca: 0.500 0.320 0.320
I: 0.500 0.256 0.806
I: 0.500 0.194 0.450
I: 0.500 0.744 0.550
I: 0.000 0.829 0.000
In: 0.000 0.333 0.667
I: 0.000 0.467 0.467
I: 0.500 0.450 0.194
In: 0.000 0.293 0.000
In: 0.000 0.667 0.333
Ca: 0.500 0.680 0.000
I: 0.000 0.533 0.000
In: 0.000 0.000 0.293
I: 0.000 0.000 0.829
I: 0.500 0.550 0.744
In: 0.000 0.707 0.707
Ca: 0.500 0.000 0.680
I: 0.000 0.000 0.533

## Properties
space-group type	P-62m, No. 189
M_tot	0.00	μB per cell



Stability verdict: (B), ahead by 127 meV/atom



(A)
Below is a relaxed CaIn2I4 crystal, with properties calculated at the PBE level.

Cell lengths 4.622, 9.358, 9.332 Å; angles 124.32, 104.34, 90.00 degrees
Positions (direct):
I: 0.890 0.165 0.780
I: 0.110 0.835 0.220
I: 0.630 0.259 0.259
In: 0.711 0.737 0.422
Ca: 0.000 0.000 0.000
I: 0.370 0.741 0.741
In: 0.289 0.263 0.578

## Properties
space-group type	C2/m, No. 12
M_tot	0.00	μB per cell



(B)
Below is a relaxed CaIn2I4 crystal, with properties calculated at the PBE level.

Cell lengths 4.626, 8.162, 9.076 Å; angles 71.26, 75.23, 73.54 degrees
Positions (direct):
Ca: 0.000 0.000 0.000
I: 0.340 0.244 0.077
In: 0.386 0.520 0.708
I: 0.057 0.233 0.652
I: 0.660 0.756 0.923
In: 0.614 0.480 0.292
I: 0.943 0.767 0.348

## Properties
space-group type	C2/m, No. 12
M_tot	0.00	μB per cell



(C)
Below is a relaxed CaIn2I4 crystal, with properties calculated at the PBE level.

Cell lengths 6.161, 6.161, 9.591 Å; angles 71.27, 71.27, 90.00 degrees
Positions (direct):
I: 0.819 0.819 0.361
Ca: 0.000 0.000 0.000
In: 0.368 0.368 0.265
I: 0.000 0.500 0.000
In: 0.632 0.632 0.735
I: 0.181 0.181 0.639
I: 0.500 0.000 0.000

## Properties
space-group type	I4/mmm, No. 139
M_tot	0.00	μB per cell



Stability verdict: (B), ahead by 11 meV/atom



(A)
Below is a relaxed CaIn3I crystal, with properties calculated at the PBE level.

Cell lengths 6.123, 6.123, 6.123 Å; angles 90.00, 90.00, 90.00 degrees
Positions (direct):
In: 0.000 0.500 0.000
In: 0.500 0.000 0.000
I: 0.000 0.000 0.000
In: 0.000 0.000 0.500
Ca: 0.500 0.500 0.500

## Properties
space-group type	Pm-3m, No. 221
M_tot	0.00	μB per cell



(B)
Below is a relaxed CaIn3I crystal, with properties calculated at the PBE level.

Cell lengths 6.140, 6.140, 6.140 Å; angles 90.00, 90.00, 90.00 degrees
Positions (direct):
In: 0.000 0.000 0.500
In: 0.500 0.000 0.000
I: 0.500 0.500 0.500
Ca: 0.000 0.000 0.000
In: 0.000 0.500 0.000

## Properties
space-group type	Pm-3m, No. 221
M_tot	0.00	μB per cell



Stability verdict: (A), ahead by 54 meV/atom



(A)
Below is a relaxed CaInIN2 crystal, with properties calculated at the PBE level.

Cell lengths 4.938, 4.938, 6.383 Å; angles 90.00, 90.00, 90.00 degrees
Positions (direct):
In: 0.500 0.500 0.500
I: 0.000 0.000 0.500
N: 0.500 0.000 0.000
Ca: 0.000 0.000 0.000
N: 0.000 0.500 0.000

## Properties
space-group type	P4/mmm, No. 123
M_tot	4.00	μB per cell



(B)
Below is a relaxed CaInIN2 crystal, with properties calculated at the PBE level.

Cell lengths 4.353, 4.353, 6.008 Å; angles 90.00, 90.00, 90.00 degrees
Positions (direct):
N: 0.000 0.500 0.000
I: 0.000 0.000 0.500
In: 0.000 0.000 0.000
Ca: 0.500 0.500 0.500
N: 0.500 0.000 0.000

## Properties
space-group type	P4/mmm, No. 123
M_tot	1.77	μB per cell



Stability verdict: (B), ahead by 164 meV/atom



(A)
Below is a relaxed CaInIO2 crystal, with properties calculated at the PBE level.

Cell lengths 4.517, 4.517, 6.353 Å; angles 90.00, 90.00, 90.00 degrees
Positions (direct):
Ca: 0.000 0.000 0.000
In: 0.500 0.500 0.500
O: 0.000 0.500 0.000
I: 0.000 0.000 0.500
O: 0.500 0.000 0.000

## Properties
space-group type	P4/mmm, No. 123
M_tot	0.27	μB per cell



(B)
Below is a relaxed CaInIO2 crystal, with properties calculated at the PBE level.

Cell lengths 4.508, 4.508, 5.536 Å; angles 90.00, 90.00, 90.00 degrees
Positions (direct):
In: 0.000 0.000 0.000
O: 0.000 0.500 0.000
I: 0.000 0.000 0.500
O: 0.500 0.000 0.000
Ca: 0.500 0.500 0.500

## Properties
space-group type	P4/mmm, No. 123
M_tot	0.00	μB per cell



Stability verdict: (B), ahead by 269 meV/atom



(A)
Below is a relaxed CaInSb2I crystal, with properties calculated at the PBE level.

Cell lengths 5.896, 5.896, 6.033 Å; angles 90.00, 90.00, 90.00 degrees
Positions (direct):
Sb: 0.500 0.000 0.000
Sb: 0.000 0.500 0.000
Ca: 0.000 0.000 0.000
I: 0.000 0.000 0.500
In: 0.500 0.500 0.500

## Properties
space-group type	P4/mmm, No. 123
M_tot	0.66	μB per cell



(B)
Below is a relaxed CaInSb2I crystal, with properties calculated at the PBE level.

Cell lengths 5.556, 5.556, 6.172 Å; angles 90.00, 90.00, 90.00 degrees
Positions (direct):
Sb: 0.500 0.000 0.000
I: 0.000 0.000 0.500
Ca: 0.500 0.500 0.500
In: 0.000 0.000 0.000
Sb: 0.000 0.500 0.000

## Properties
space-group type	P4/mmm, No. 123
M_tot	0.00	μB per cell



Stability verdict: (B), ahead by 91 meV/atom



(A)
Below is a relaxed CaInSbI2 crystal, with properties calculated at the PBE level.

Cell lengths 5.895, 5.895, 5.768 Å; angles 90.00, 90.00, 90.00 degrees
Positions (direct):
I: 0.500 0.000 0.000
Ca: 0.500 0.500 0.500
I: 0.000 0.500 0.000
In: 0.000 0.000 0.000
Sb: 0.000 0.000 0.500

## Properties
space-group type	P4/mmm, No. 123
M_tot	0.18	μB per cell



(B)
Below is a relaxed CaInSbI2 crystal, with properties calculated at the PBE level.

Cell lengths 6.085, 6.085, 6.258 Å; angles 90.00, 90.00, 90.00 degrees
Positions (direct):
I: 0.500 0.000 0.000
I: 0.000 0.500 0.000
Sb: 0.000 0.000 0.500
Ca: 0.000 0.000 0.000
In: 0.500 0.500 0.500

## Properties
space-group type	P4/mmm, No. 123
M_tot	2.01	μB per cell



Stability verdict: (B), ahead by 174 meV/atom



(A)
Below is a relaxed CaIrI crystal, with properties calculated at the PBE level.

Cell lengths 5.753, 6.857, 7.272 Å; angles 90.00, 90.00, 90.00 degrees
Positions (direct):
I: 0.000 0.500 0.000
Ir: 0.741 0.750 0.756
Ca: 0.488 0.750 0.092
I: 0.500 0.500 0.500
Ir: 0.259 0.250 0.244
I: 0.500 0.000 0.500
Ir: 0.241 0.750 0.744
Ca: 0.988 0.750 0.408
I: 0.000 0.000 0.000
Ca: 0.012 0.250 0.592
Ca: 0.512 0.250 0.908
Ir: 0.759 0.250 0.256

## Properties
space-group type	Pnma, No. 62
M_tot	0.00	μB per cell



(B)
Below is a relaxed CaIrI crystal, with properties calculated at the PBE level.

Cell lengths 7.871, 4.358, 6.032 Å; angles 89.81, 71.40, 74.01 degrees
Positions (direct):
I: 0.452 0.022 0.343
Ca: 0.082 0.706 0.530
Ir: 0.208 0.148 0.086
Ca: 0.804 0.348 0.177
Ir: 0.105 0.699 0.033
I: 0.733 0.380 0.707

## Properties
space-group type	P1, No. 1
M_tot	0.00	μB per cell



(C)
Below is a relaxed CaIrI crystal, with properties calculated at the PBE level.

Cell lengths 4.213, 12.425, 4.213 Å; angles 89.38, 118.39, 80.15 degrees
Positions (direct):
I: 0.372 0.783 0.672
Ca: 0.817 0.625 0.389
Ir: 0.612 0.447 0.776
I: 0.823 0.112 0.908
Ir: 0.263 0.447 0.124
Ca: 0.056 0.270 0.514

## Properties
space-group type	P1, No. 1
M_tot	0.00	μB per cell



Stability verdict: (C), ahead by 361 meV/atom



(A)
Below is a relaxed CaIrI crystal, with properties calculated at the PBE level.

Cell lengths 10.056, 4.519, 7.328 Å; angles 90.00, 90.00, 90.00 degrees
Positions (direct):
Ir: 0.312 0.750 0.911
Ca: 0.099 0.750 0.653
Ir: 0.688 0.250 0.089
I: 0.840 0.250 0.794
Ca: 0.599 0.750 0.847
Ca: 0.901 0.250 0.347
I: 0.340 0.250 0.706
Ir: 0.188 0.250 0.411
Ca: 0.401 0.250 0.153
I: 0.660 0.750 0.294
Ir: 0.812 0.750 0.589
I: 0.160 0.750 0.206

## Properties
space-group type	Pnma, No. 62
M_tot	0.00	μB per cell



(B)
Below is a relaxed CaIrI crystal, with properties calculated at the PBE level.

Cell lengths 8.352, 4.203, 8.468 Å; angles 90.00, 90.00, 90.00 degrees
Positions (direct):
I: 0.712 0.750 0.950
Ca: 0.026 0.750 0.198
Ca: 0.974 0.250 0.802
I: 0.212 0.750 0.550
Ir: 0.235 0.750 0.856
Ir: 0.265 0.250 0.356
Ca: 0.526 0.750 0.302
I: 0.288 0.250 0.050
Ca: 0.474 0.250 0.698
I: 0.788 0.250 0.450
Ir: 0.765 0.250 0.144
Ir: 0.735 0.750 0.644

## Properties
space-group type	Pnma, No. 62
M_tot	0.00	μB per cell



(C)
Below is a relaxed CaIrI crystal, with properties calculated at the PBE level.

Cell lengths 5.231, 5.231, 9.823 Å; angles 90.00, 90.00, 120.00 degrees
Positions (direct):
Ir: 0.000 0.000 0.500
Ca: 0.667 0.333 0.750
I: 0.000 0.000 0.750
Ca: 0.333 0.667 0.250
I: 0.000 0.000 0.250
Ir: 0.000 0.000 0.000

## Properties
space-group type	P6_3/mmc, No. 194
M_tot	0.00	μB per cell



(D)
Below is a relaxed CaIrI crystal, with properties calculated at the PBE level.

Cell lengths 4.859, 8.076, 4.187 Å; angles 90.01, 90.00, 107.67 degrees
Positions (direct):
Ir: 0.447 0.755 0.492
Ir: 0.167 0.205 0.492
Ca: 0.584 0.026 0.990
Ca: 0.313 0.493 0.992
I: 0.998 0.858 0.487
I: 0.740 0.348 0.491

## Properties
space-group type	P1, No. 1
M_tot	0.00	μB per cell



Stability verdict: (D), ahead by 8 meV/atom